# Na3HgSe | the Alexandria database | GGA-PBEsol | relaxed
# Magnetic moment, μB/f.u.: 0.00
# Uncorrected formation energy, eV per atom: -0.03
# Raw total energy, eV per atom: -1.755
data_Na3HgSe
_chemical_formula_sum 'Na3 Hg1 Se1'
_cell_length_a 5.435
_cell_length_b 5.435
_cell_length_c 5.435
_cell_angle_alpha 90.00
_cell_angle_beta 90.00
_cell_angle_gamma 90.00
_symmetry_space_group_name_H-M 'P m -3 m'
_symmetry_Int_Tables_number 221
_symmetry_space_group_name_Hall '-P 4 2 3'
loop_
_atom_site_label
_atom_site_type_symbol
_atom_site_fract_x
_atom_site_fract_y
_atom_site_fract_z
Na1 Na 0.000 0.000 0.500
Hg1 Hg 0.000 0.000 0.000
Se1 Se 0.500 0.500 0.500

***

# NaSiHg3 | the Alexandria database | GGA-PBEsol | relaxed
# Magnetic moment, μB/f.u.: 0.00
# Uncorrected formation energy, eV per atom: 0.81
# Raw total energy, eV per atom: -0.958
# E above lowest polymorph, eV per atom: 0.723
data_NaSiHg3
_chemical_formula_sum 'Na1 Si1 Hg3'
_cell_length_a 5.192
_cell_length_b 5.192
_cell_length_c 5.192
_cell_angle_alpha 90.00
_cell_angle_beta 90.00
_cell_angle_gamma 90.00
_symmetry_space_group_name_H-M 'P m -3 m'
_symmetry_Int_Tables_number 221
_symmetry_space_group_name_Hall '-P 4 2 3'
loop_
_atom_site_label
_atom_site_type_symbol
_atom_site_fract_x
_atom_site_fract_y
_atom_site_fract_z
Na1 Na 0.000 0.000 0.000
Si1 Si 0.500 0.500 0.500
Hg1 Hg 0.000 0.000 0.500

***

# NaSiHg3 | the Alexandria database | GGA-PBEsol | relaxed
# Magnetic moment, μB/f.u.: 0.00
# Uncorrected formation energy, eV per atom: 0.09
# Raw total energy, eV per atom: -1.681
# E above lowest polymorph, eV per atom: 0.000
data_NaSiHg3
_chemical_formula_sum 'Na1 Si1 Hg3'
_cell_length_a 5.076
_cell_length_b 5.076
_cell_length_c 5.076
_cell_angle_alpha 90.00
_cell_angle_beta 90.00
_cell_angle_gamma 90.00
_symmetry_space_group_name_H-M 'P m -3 m'
_symmetry_Int_Tables_number 221
_symmetry_space_group_name_Hall '-P 4 2 3'
loop_
_atom_site_label
_atom_site_type_symbol
_atom_site_fract_x
_atom_site_fract_y
_atom_site_fract_z
Na1 Na 0.000 0.000 0.000
Si1 Si 0.500 0.500 0.500
Hg1 Hg 0.000 0.500 0.500

***

# Na2SnHg | the Alexandria database | GGA-PBEsol | relaxed
# Formation energy, eV/atom: -0.235
# Magnetic moment, μB/f.u.: 0.00
# Raw total energy, eV per atom: -2.142
data_Na2SnHg
_chemical_formula_sum 'Na8 Sn4 Hg4'
_cell_length_a 7.180
_cell_length_b 7.180
_cell_length_c 7.180
_cell_angle_alpha 90.00
_cell_angle_beta 90.00
_cell_angle_gamma 90.00
_symmetry_space_group_name_H-M 'F -4 3 m'
_symmetry_Int_Tables_number 216
_symmetry_space_group_name_Hall 'F -4 2 3'
loop_
_atom_site_label
_atom_site_type_symbol
_atom_site_fract_x
_atom_site_fract_y
_atom_site_fract_z
Na1 Na 0.000 0.000 0.000
Na2 Na 0.250 0.250 0.250
Sn1 Sn 0.000 0.000 0.500
Hg1 Hg 0.250 0.250 0.750

***

# NaSr2Hg2 | the Alexandria database | GGA-PBEsol | relaxed
# Formation energy, eV/atom: -0.433
# Magnetic moment, μB/f.u.: 0.00
# Raw total energy, eV per atom: -1.676
data_NaSr2Hg2
_chemical_formula_sum 'Na2 Sr4 Hg4'
_cell_length_a 8.558
_cell_length_b 8.558
_cell_length_c 4.419
_cell_angle_alpha 90.00
_cell_angle_beta 90.00
_cell_angle_gamma 90.00
_symmetry_space_group_name_H-M 'P 4/m b m'
_symmetry_Int_Tables_number 127
_symmetry_space_group_name_Hall '-P 4 2ab'
loop_
_atom_site_label
_atom_site_type_symbol
_atom_site_fract_x
_atom_site_fract_y
_atom_site_fract_z
Na1 Na 0.000 0.000 0.000
Sr1 Sr 0.164 0.336 0.500
Hg1 Hg 0.132 0.632 0.000

***

# Na2SrHg2 | the Alexandria database | GGA-PBEsol | relaxed
# Formation energy, eV/atom: -0.251
# Magnetic moment, μB/f.u.: 0.00
# Raw total energy, eV per atom: -1.406
# E above lowest polymorph, eV per atom: 0.051
data_Na2SrHg2
_chemical_formula_sum 'Na4 Sr2 Hg4'
_cell_length_a 8.297
_cell_length_b 8.297
_cell_length_c 4.335
_cell_angle_alpha 90.00
_cell_angle_beta 90.00
_cell_angle_gamma 90.00
_symmetry_space_group_name_H-M 'P 4/m b m'
_symmetry_Int_Tables_number 127
_symmetry_space_group_name_Hall '-P 4 2ab'
loop_
_atom_site_label
_atom_site_type_symbol
_atom_site_fract_x
_atom_site_fract_y
_atom_site_fract_z
Na1 Na 0.161 0.339 0.000
Sr1 Sr 0.000 0.000 0.500
Hg1 Hg 0.127 0.627 0.500

***

# Na2SrHg2 | the Alexandria database | GGA-PBEsol | relaxed
# Formation energy, eV/atom: -0.302
# Magnetic moment, μB/f.u.: 0.00
# Raw total energy, eV per atom: -1.457
# E above lowest polymorph, eV per atom: 0.000
data_Na2SrHg2
_chemical_formula_sum 'Na4 Sr2 Hg4'
_cell_length_a 4.490
_cell_length_b 4.490
_cell_length_c 14.440
_cell_angle_alpha 90.00
_cell_angle_beta 90.00
_cell_angle_gamma 90.00
_symmetry_space_group_name_H-M 'I 4/m m m'
_symmetry_Int_Tables_number 139
_symmetry_space_group_name_Hall '-I 4 2'
loop_
_atom_site_label
_atom_site_type_symbol
_atom_site_fract_x
_atom_site_fract_y
_atom_site_fract_z
Na1 Na 0.000 0.500 0.250
Sr1 Sr 0.000 0.000 0.000
Hg1 Hg 0.000 0.000 0.400

***

# NaSrHg2 | the Alexandria database | GGA-PBEsol | relaxed
# Formation energy, eV/atom: -0.393
# Magnetic moment, μB/f.u.: 0.00
# Raw total energy, eV per atom: -1.486
data_NaSrHg2
_chemical_formula_sum 'Na4 Sr4 Hg8'
_cell_length_a 7.585
_cell_length_b 7.585
_cell_length_c 7.585
_cell_angle_alpha 90.00
_cell_angle_beta 90.00
_cell_angle_gamma 90.00
_symmetry_space_group_name_H-M 'F m -3 m'
_symmetry_Int_Tables_number 225
_symmetry_space_group_name_Hall '-F 4 2 3'
loop_
_atom_site_label
_atom_site_type_symbol
_atom_site_fract_x
_atom_site_fract_y
_atom_site_fract_z
Na1 Na 0.000 0.000 0.000
Sr1 Sr 0.000 0.000 0.500
Hg1 Hg 0.250 0.250 0.250

***

# NaTcHg3 | the Alexandria database | GGA-PBEsol | relaxed
# Formation energy, eV/atom: 0.479
# Magnetic moment, μB/f.u.: 0.00
# Raw total energy, eV per atom: -2.395
data_NaTcHg3
_chemical_formula_sum 'Na1 Tc1 Hg3'
_cell_length_a 5.214
_cell_length_b 5.214
_cell_length_c 5.214
_cell_angle_alpha 90.00
_cell_angle_beta 90.00
_cell_angle_gamma 90.00
_symmetry_space_group_name_H-M 'P m -3 m'
_symmetry_Int_Tables_number 221
_symmetry_space_group_name_Hall '-P 4 2 3'
loop_
_atom_site_label
_atom_site_type_symbol
_atom_site_fract_x
_atom_site_fract_y
_atom_site_fract_z
Na1 Na 0.000 0.000 0.000
Tc1 Tc 0.500 0.500 0.500
Hg1 Hg 0.000 0.500 0.500

***

# NaTiTcHg2 | the Alexandria database | GGA-PBEsol | relaxed
# Formation energy, eV/atom: 1.650
# Magnetic moment, μB/f.u.: 5.14
# Raw total energy, eV per atom: -2.775
data_NaTiTcHg2
_chemical_formula_sum 'Na1 Ti1 Tc1 Hg2'
_cell_length_a 5.063
_cell_length_b 5.063
_cell_length_c 5.063
_cell_angle_alpha 90.00
_cell_angle_beta 90.00
_cell_angle_gamma 90.00
_symmetry_space_group_name_H-M 'P 4/m m m'
_symmetry_Int_Tables_number 123
_symmetry_space_group_name_Hall '-P 4 2'
loop_
_atom_site_label
_atom_site_type_symbol
_atom_site_fract_x
_atom_site_fract_y
_atom_site_fract_z
Na1 Na 0.000 0.000 0.000
Ti1 Ti 0.000 0.000 0.500
Tc1 Tc 0.500 0.500 0.000
Hg1 Hg 0.000 0.500 0.500

***

# Na2HgTe | the Alexandria database | GGA-PBEsol | relaxed
# Magnetic moment, μB/f.u.: 0.00
# Uncorrected formation energy, eV per atom: -0.63
# Raw total energy, eV per atom: -2.354
data_Na2HgTe
_chemical_formula_sum 'Na8 Hg4 Te4'
_cell_length_a 7.494
_cell_length_b 7.494
_cell_length_c 7.494
_cell_angle_alpha 90.00
_cell_angle_beta 90.00
_cell_angle_gamma 90.00
_symmetry_space_group_name_H-M 'F m -3 m'
_symmetry_Int_Tables_number 225
_symmetry_space_group_name_Hall '-F 4 2 3'
loop_
_atom_site_label
_atom_site_type_symbol
_atom_site_fract_x
_atom_site_fract_y
_atom_site_fract_z
Na1 Na 0.250 0.250 0.250
Hg1 Hg 0.000 0.000 0.000
Te1 Te 0.000 0.000 0.500

***

# Na3HgTe | the Alexandria database | GGA-PBEsol | relaxed
# Magnetic moment, μB/f.u.: 0.00
# Uncorrected formation energy, eV per atom: -0.12
# Raw total energy, eV per atom: -1.775
data_Na3HgTe
_chemical_formula_sum 'Na3 Hg1 Te1'
_cell_length_a 5.487
_cell_length_b 5.487
_cell_length_c 5.487
_cell_angle_alpha 90.00
_cell_angle_beta 90.00
_cell_angle_gamma 90.00
_symmetry_space_group_name_H-M 'P m -3 m'
_symmetry_Int_Tables_number 221
_symmetry_space_group_name_Hall '-P 4 2 3'
loop_
_atom_site_label
_atom_site_type_symbol
_atom_site_fract_x
_atom_site_fract_y
_atom_site_fract_z
Na1 Na 0.000 0.000 0.500
Hg1 Hg 0.000 0.000 0.000
Te1 Te 0.500 0.500 0.500

***

# NaTl2Hg2 | the Alexandria database | GGA-PBEsol | relaxed
# Formation energy, eV/atom: -0.070
# Magnetic moment, μB/f.u.: 0.00
# Raw total energy, eV per atom: -1.629
data_NaTl2Hg2
_chemical_formula_sum 'Na2 Tl4 Hg4'
_cell_length_a 8.377
_cell_length_b 8.377
_cell_length_c 3.825
_cell_angle_alpha 90.00
_cell_angle_beta 90.00
_cell_angle_gamma 90.00
_symmetry_space_group_name_H-M 'P 4/m b m'
_symmetry_Int_Tables_number 127
_symmetry_space_group_name_Hall '-P 4 2ab'
loop_
_atom_site_label
_atom_site_type_symbol
_atom_site_fract_x
_atom_site_fract_y
_atom_site_fract_z
Na1 Na 0.000 0.000 0.000
Tl1 Tl 0.140 0.360 0.000
Hg1 Hg 0.160 0.660 0.500